(1)
This record from Alexandria via LeMat-Bulk describes a geometry-optimized LaY2TcN4 structure. The functional is PBE.

Values from the calculation:
ΔE_f (raw)	-8.78	eV per formula unit
space-group type	Cmcm, No. 63

a = 6.1578 Å, b = 6.1578 Å, c = 11.6936 Å
α = 90.00°, β = 90.00°, γ = 147.03°
With the nearest neighbours (Å) after each atom.
Element x y z (fractional)
1 La 0.1180 0.8820 0.7500  6 N 2.67-2.79
2 La 0.8820 0.1180 0.2500  6 N 2.67-2.79
3 Y 0.3686 0.6314 0.5402  6 N 2.31-2.57
4 Y 0.3686 0.6314 0.9598  6 N 2.31-2.57
5 Y 0.6314 0.3686 0.0402  6 N 2.31-2.57
6 Y 0.6314 0.3686 0.4598  6 N 2.31-2.57
7 Tc 0.1457 0.8543 0.2500  4 N 1.98-2.00
8 Tc 0.8543 0.1457 0.7500  4 N 1.98-2.00
9 N 0.0000 0.0000 0.0000  4 Y 2.38
10 N 0.0000 0.0000 0.5000  4 Y 2.38
11 N 0.2631 0.7369 0.1263  1 Tc 2.00
12 N 0.2631 0.7369 0.3737  1 Tc 2.00
13 N 0.4334 0.5666 0.7500  2 Tc 1.98
14 N 0.5666 0.4334 0.2500  2 Tc 1.98
15 N 0.7369 0.2631 0.6263  1 Tc 2.00
16 N 0.7369 0.2631 0.8737  1 Tc 2.00


(2)
This record from Alexandria via LeMat-Bulk describes a geometry-optimized LiAlGe structure. The functional is PBE.

Values from the calculation:
space-group type	P-6m2, No. 187
ΔE_f	-0.171	eV per atom

a = 4.2564 Å, b = 4.2564 Å, c = 6.8841 Å
α = 90.00°, β = 90.00°, γ = 120.00°
With the nearest neighbours (Å) after each atom.
Element x y z (fractional)
1 Li 0.0000 0.0000 0.0000  6 Al 2.81
2 Li 0.0000 0.0000 0.5000  6 Ge 2.80
3 Al 0.6667 0.3333 0.1979  3 Ge 2.57, 1 Al 2.72, 3 Li 2.81
4 Al 0.6667 0.3333 0.8021  3 Ge 2.57, 1 Al 2.72, 3 Li 2.81
5 Ge 0.3333 0.6667 0.3052  3 Al 2.57, 1 Ge 2.68, 3 Li 2.80
6 Ge 0.3333 0.6667 0.6948  3 Al 2.57, 1 Ge 2.68, 3 Li 2.80